A plane-wave DFT calculation with PBE-GGA was carried out for an optimized crystal structure of Ba2Sr2In.

```
Ba2Sr2In
1.0
8.880 0.000 0.000
0.000 8.880 0.000
0.000 0.000 6.603
Ba Sr In
4 4 2
Cartesian
1.563 2.877 0.000
2.877 7.317 0.000
6.004 1.563 0.000
7.317 6.004 0.000
1.361 5.801 3.302
3.079 1.361 3.302
5.801 7.519 3.302
7.519 3.079 3.302
0.000 0.000 3.302
4.440 4.440 3.302
```

Calculated values
The formation energy is -0.0142 eV per atom. Its theoretical density is 3.6 g/cm³. As for the space group: No. 127. For the relative energy among the computed polymorphs, the calculation gives 0.1583 eV/atom.

A plane-wave DFT calculation with PBE-GGA was carried out for an optimized crystal structure of HgTe2Au.

```
HgTe2Au
1.0
-2.050 3.556 4.195
2.050 -3.556 4.195
2.050 3.556 -4.195
Hg Te Au
1 2 1
Cartesian
0.000 0.000 0.000
2.050 0.000 2.430
0.000 3.556 1.765
0.000 0.000 4.195
```

Calculated values
Its formation energy from raw total energies is 0.082 eV/atom. Its theoretical density is 8.9 g/cm³. As for the space group: No. 71.

A plane-wave DFT calculation with PBE-GGA was carried out for an optimized crystal structure of Sc3GaRh2.

```
Sc3GaRh2
1.0
3.268 0.000 0.000
0.000 3.268 0.000
0.000 0.000 9.880
Sc Ga Rh
3 1 2
Cartesian
0.000 0.000 0.000
0.000 0.000 3.179
0.000 0.000 6.701
1.634 1.634 4.940
1.634 1.634 1.629
1.634 1.634 8.251
```

Calculated values
The formation energy is -0.8813 eV per atom. Its theoretical density is 6.5 g/cm³. As for the space group: No. 123.

A plane-wave DFT calculation with PBE-GGA was carried out for an optimized crystal structure of KGaSi.

```
KGaSi
1.0
6.668 -1.852 0.000
6.668 1.852 0.000
-0.090 0.000 6.282
K Ga Si
2 2 2
Cartesian
0.000 0.000 0.000
8.140 0.000 3.151
4.001 0.000 4.848
11.665 0.000 3.030
3.960 0.000 1.309
9.585 0.000 0.091
```

Calculated values
Its formation energy from raw total energies is 0.069 eV/atom. Its theoretical density is 2.9 g/cm³. As for the space group: No. 8.

A plane-wave DFT calculation with PBE-GGA was carried out for an optimized crystal structure of BeRe2Se.

```
BeRe2Se
1.0
0.000 2.983 2.983
2.983 0.000 2.983
2.983 2.983 0.000
Be Re Se
1 2 1
Cartesian
0.000 0.000 0.000
1.491 1.491 1.491
4.474 4.474 4.474
2.983 2.983 2.983
```

Calculated values
Its formation energy from raw total energies is 0.499 eV/atom. Its theoretical density is 14.4 g/cm³. As for the space group: No. 225. For the relative energy among the computed polymorphs, the calculation gives 0.3741 eV/atom.

A plane-wave DFT calculation with PBE-GGA was carried out for an optimized crystal structure of Ti3PtO.

```
Ti3PtO
1.0
7.355 0.000 0.000
0.000 5.325 0.000
-5.413 0.000 7.174
Ti Pt O
12 4 4
Cartesian
-1.145 0.202 2.002
-3.851 2.460 5.589
-1.248 1.162 4.688
1.458 1.500 1.101
0.462 3.798 3.259
-2.245 4.189 6.845
4.187 1.136 0.328
1.480 1.526 3.915
0.484 3.825 6.072
3.190 4.163 2.485
5.793 2.865 1.584
3.087 5.123 5.171
-1.963 3.807 4.216
0.744 4.181 0.629
1.198 1.144 6.544
3.905 1.518 2.957
-2.799 0.822 6.235
-0.092 1.841 2.648
2.034 3.484 4.525
4.741 4.503 0.939
```

Calculated values
Its formation energy from raw total energies is -1.310 eV/atom. Its theoretical density is 8.4 g/cm³. As for the space group: No. 14.

A plane-wave DFT calculation with PBE-GGA was carried out for an optimized crystal structure of CsNp3I8.

```
CsNp3I8
1.0
4.418 2.551 9.484
-4.418 2.551 9.484
0.000 -5.102 9.484
Cs Np I
1 3 8
Cartesian
0.000 0.000 0.000
-4.418 0.000 14.226
-2.209 1.275 4.742
2.209 1.275 4.742
-2.196 -1.268 16.061
0.000 0.000 6.648
0.000 -2.536 12.391
-2.196 1.268 12.391
2.196 -1.268 16.061
0.000 2.536 16.061
0.000 0.000 21.804
2.196 1.268 12.391
```

Calculated values
Its formation energy from raw total energies is -0.882 eV/atom. Its theoretical density is 4.8 g/cm³. As for the space group: No. 166.

A plane-wave DFT calculation with PBE-GGA was carried out for an optimized crystal structure of CaPCl.

```
CaPCl
1.0
0.000 3.456 3.456
3.456 0.000 3.456
3.456 3.456 0.000
Ca P Cl
1 1 1
Cartesian
0.000 0.000 0.000
1.728 1.728 1.728
5.184 5.184 5.184
```

Calculated values
Its formation energy from raw total energies is -0.595 eV/atom. Its theoretical density is 2.1 g/cm³. As for the space group: No. 216. For the relative energy among the computed polymorphs, the calculation gives 0.8516 eV/atom.

> Look up the theoretical density of the fourth one.

2.9 g/cm³

Copy entry 5 word for word.
A plane-wave DFT calculation with PBE-GGA was carried out for an optimized crystal structure of BeRe2Se.

```
BeRe2Se
1.0
0.000 2.983 2.983
2.983 0.000 2.983
2.983 2.983 0.000
Be Re Se
1 2 1
Cartesian
0.000 0.000 0.000
1.491 1.491 1.491
4.474 4.474 4.474
2.983 2.983 2.983
```

Calculated values
Its formation energy from raw total energies is 0.499 eV/atom. Its theoretical density is 14.4 g/cm³. As for the space group: No. 225. For the relative energy among the computed polymorphs, the calculation gives 0.3741 eV/atom.